VASP calculation (GGA-PBE) on a relaxed SrTm4Ga3O12 crystal.

```
SrTm4Ga3O12
1.0
-4.0436 4.0436 4.0436
4.0436 -4.0436 4.0436
4.0436 4.0436 -4.0436
Sr Tm Ga O
1 4 3 12
direct
0.0000 0.0000 0.0000 Sr
0.0000 0.0000 0.5000 Tm
0.0000 0.5000 0.0000 Tm
0.5000 0.0000 0.0000 Tm
0.5000 0.5000 0.5000 Tm
0.0000 0.5000 0.5000 Ga
0.5000 0.0000 0.5000 Ga
0.5000 0.5000 0.0000 Ga
0.1597 0.4824 0.3226 O
0.1597 0.8371 0.6774 O
0.1629 0.3226 0.8403 O
0.3226 0.1597 0.4824 O
0.3226 0.8403 0.1629 O
0.4824 0.3226 0.1597 O
0.5176 0.6774 0.8403 O
0.6774 0.1597 0.8371 O
0.6774 0.8403 0.5176 O
0.8371 0.6774 0.1597 O
0.8403 0.1629 0.3226 O
0.8403 0.5176 0.6774 O
```

Values from the calculation:
Its space group is Im-3, No. 204. Its crystal system is cubic. The value obtained for the uncorrected formation energy is -52.8 eV per formula unit.



VASP calculation (GGA-PBE) on a relaxed Sr2TmGa2O6 crystal.

```
Sr2TmGa2O6
1.0
5.9719 0.0000 0.0000
-2.9859 5.1718 0.0000
0.0000 0.0000 6.9864
Sr Tm Ga O
2 1 2 6
direct
0.3333 0.6667 0.3314 Sr
0.6667 0.3333 0.6686 Sr
0.0000 0.0000 0.5000 Tm
0.3333 0.6667 0.7649 Ga
0.6667 0.3333 0.2351 Ga
0.0869 0.3519 0.6707 O
0.2650 0.9131 0.6707 O
0.3519 0.2650 0.3293 O
0.6481 0.7350 0.6707 O
0.7350 0.0869 0.3293 O
0.9131 0.6481 0.3293 O
```

Values from the calculation:
Its space group is P-3, No. 147. Its crystal system is trigonal. The value obtained for the uncorrected formation energy is -25.2 eV per formula unit.



VASP calculation (GGA-PBE) on a relaxed SrUGaO5 crystal.

```
SrUGaO5
1.0
3.6020 -4.8435 0.0000
3.6020 4.8435 0.0000
-3.2049 0.0000 7.2580
Sr U Ga O
2 2 2 10
direct
0.1658 0.8342 0.7500 Sr
0.8342 0.1658 0.2500 Sr
0.5000 0.5000 0.0000 U
0.5000 0.5000 0.5000 U
0.1835 0.8165 0.2500 Ga
0.8165 0.1835 0.7500 Ga
0.1301 0.2451 0.9082 O
0.1899 0.6038 0.3866 O
0.2451 0.1301 0.4082 O
0.3962 0.8101 0.1134 O
0.4204 0.5796 0.7500 O
0.5796 0.4204 0.2500 O
0.6038 0.1899 0.8866 O
0.7549 0.8699 0.5918 O
0.8101 0.3962 0.6134 O
0.8699 0.7549 0.0918 O
```

Values from the calculation:
Its space group is C2/c, No. 15. Its crystal system is monoclinic. The value obtained for the uncorrected formation energy is -22.5 eV per formula unit.



VASP calculation (GGA-PBE) on a relaxed Sr2UGaO6 crystal.

```
Sr2UGaO6
1.0
5.8123 0.0000 0.0000
0.0000 5.8286 0.0000
-5.7803 0.0000 8.2195
Sr U Ga O
4 2 2 12
direct
0.2428 0.0264 0.2488 Sr
0.2428 0.4736 0.7488 Sr
0.7572 0.5264 0.2512 Sr
0.7572 0.9736 0.7512 Sr
0.5000 0.0000 0.0000 U
0.5000 0.5000 0.5000 U
0.0000 0.0000 0.5000 Ga
0.0000 0.5000 0.0000 Ga
0.1773 0.2259 0.9657 O
0.1773 0.2741 0.4657 O
0.2384 0.7128 0.9653 O
0.2384 0.7872 0.4653 O
0.3085 0.0133 0.7428 O
0.3085 0.4867 0.2428 O
0.6915 0.5133 0.7572 O
0.6915 0.9867 0.2572 O
0.7616 0.2128 0.5347 O
0.7616 0.2872 0.0347 O
0.8227 0.7259 0.5343 O
0.8227 0.7741 0.0343 O
```

Values from the calculation:
Its space group is P2_1/c, No. 14. Its crystal system is monoclinic. The value obtained for the uncorrected formation energy is -28.3 eV per formula unit.



VASP calculation (GGA-PBE) on a relaxed SrUGa2O8 crystal.

```
SrUGa2O8
1.0
4.7796 0.0000 0.0000
0.3342 4.8747 0.0000
0.0334 0.6857 7.4475
Sr U Ga O
1 1 2 8
direct
0.0000 0.0000 0.0000 Sr
0.0000 0.0000 0.5000 U
0.4944 0.4881 0.6891 Ga
0.5056 0.5119 0.3109 Ga
0.2018 0.7737 0.7186 O
0.2087 0.8289 0.2999 O
0.3059 0.3154 0.5021 O
0.4500 0.6104 0.0575 O
0.5500 0.3896 0.9425 O
0.6941 0.6846 0.4979 O
0.7913 0.1711 0.7001 O
0.7982 0.2263 0.2814 O
```

Values from the calculation:
Its space group is P-1, No. 2. Its crystal system is triclinic. The value obtained for the uncorrected formation energy is -26.3 eV per formula unit.